First-principles (PBE-GGA) data for crystalline NpZn2CrH8 at its relaxed geometry, as listed in Alexandria.

Cell and atoms, written as CIF:
```
data_NpZn2CrH8
_chemical_formula_sum 'Np1 Zn2 Cr1 H8'
_cell_length_a 4.382
_cell_length_b 4.418
_cell_length_c 5.936
_cell_angle_alpha 59.50
_cell_angle_beta 89.21
_cell_angle_gamma 91.04
_space_group_name_H-M_alt 'P 1'
_space_group_IT_number 1
loop_
_space_group_symop_operation_xyz
'x,y,z'
loop_
_atom_site_label
_atom_site_fract_x
_atom_site_fract_y
_atom_site_fract_z
H1 0.494 0.762 0.556
H2 0.218 0.250 0.080
Cr1 0.000 0.000 0.000
H3 0.506 0.238 0.444
Np1 0.000 0.000 0.500
Zn1 0.501 0.674 0.209
H4 0.265 0.880 0.857
H5 0.066 0.639 0.304
H6 0.782 0.750 0.920
Zn2 0.499 0.326 0.791
H7 0.934 0.361 0.696
H8 0.735 0.120 0.143
```

## Properties
ρ in Mg/m³: 7.2
Magnetization in μB per cell: 3.0
Raw total energy in eV per atom: -4.319